1.
Here is a geometry-optimized V2TePd structure from Alexandria. Energies are from PBE. Values from VASP.

Computed properties:
The value obtained for the electronic total energy is -6.015 eV/atom.

```
&SYSTEM
  ibrav = 0, nat = 8, ntyp = 3
/
ATOMIC_SPECIES
V 50.94 V.upf
Te 127.60 Te.upf
Pd 106.42 Pd.upf
CELL_PARAMETERS angstrom
-2.865 2.865 6.401
2.865 -2.865 6.401
2.865 2.865 -6.401
ATOMIC_POSITIONS angstrom
V 4.298 1.255 -1.600
V 1.255 1.433 1.600
V -1.433 1.610 4.801
V 1.610 1.433 8.002
Te 2.865 0.000 3.201
Te 0.000 0.000 6.401
Pd 0.000 0.000 0.000
Pd 0.000 2.865 3.201
```

---

2.
Here is a geometry-optimized LaDy4Th2 structure from Alexandria. Energies are from PBE. Values from VASP.

Computed properties:
The value obtained for the electronic total energy is -5.323 eV/atom. The calculation puts the energy of formation from the pure elements at 0.131 eV/atom.

```
&SYSTEM
  ibrav = 0, nat = 7, ntyp = 3
/
ATOMIC_SPECIES
La 138.91 La.upf
Dy 162.50 Dy.upf
Th 232.04 Th.upf
CELL_PARAMETERS angstrom
3.488 0.000 0.000
1.633 8.548 0.000
0.381 4.050 7.748
ATOMIC_POSITIONS angstrom
La 0.000 0.000 0.000
Dy 1.645 9.994 5.452
Dy 1.985 4.811 4.549
Dy 3.518 7.787 3.199
Dy 3.857 2.604 2.296
Th 1.980 5.381 1.050
Th 3.522 7.217 6.698
```

---

3.
Here is a geometry-optimized HfVSe2 structure from Alexandria. Energies are from PBE. Values from VASP.

Computed properties:
The value obtained for the electronic total energy is -7.050 eV/atom.

```
&SYSTEM
  ibrav = 0, nat = 4, ntyp = 3
/
ATOMIC_SPECIES
Hf 178.49 Hf.upf
V 50.94 V.upf
Se 78.96 Se.upf
CELL_PARAMETERS angstrom
0.000 3.254 3.254
3.254 0.000 3.254
3.254 3.254 0.000
ATOMIC_POSITIONS angstrom
Hf 0.000 0.000 0.000
V 3.254 3.254 3.254
Se 1.627 1.627 1.627
Se 4.882 4.882 4.882
```

---

4.
Here is a geometry-optimized CaReTc2 structure from Alexandria. Energies are from PBE. Values from VASP.

Computed properties:
The value obtained for the electronic total energy is -8.408 eV/atom. The calculation puts the energy of formation from the pure elements at 0.387 eV/atom.

```
&SYSTEM
  ibrav = 0, nat = 4, ntyp = 3
/
ATOMIC_SPECIES
Ca 40.08 Ca.upf
Re 186.21 Re.upf
Tc 98.00 Tc.upf
CELL_PARAMETERS angstrom
3.137 0.000 0.000
0.000 3.137 0.000
0.000 0.000 7.204
ATOMIC_POSITIONS angstrom
Ca 0.000 0.000 0.000
Re 0.000 0.000 3.602
Tc 1.568 1.568 2.151
Tc 1.568 1.568 5.053
```

---

5.
Here is a geometry-optimized LaLuMgRu structure from Alexandria. Energies are from PBE. Values from VASP.

Computed properties:
The value obtained for the electronic total energy is -5.209 eV/atom. The calculation puts the energy of formation from the pure elements at -0.130 eV/atom.

```
&SYSTEM
  ibrav = 0, nat = 4, ntyp = 4
/
ATOMIC_SPECIES
La 138.91 La.upf
Lu 174.97 Lu.upf
Mg 24.30 Mg.upf
Ru 101.07 Ru.upf
CELL_PARAMETERS angstrom
0.000 3.605 3.605
3.605 0.000 3.605
3.605 3.605 0.000
ATOMIC_POSITIONS angstrom
La 0.000 0.000 0.000
Lu 3.605 3.605 3.605
Mg 5.407 5.407 5.407
Ru 1.802 1.802 1.802
```

---

6.
Here is a geometry-optimized MgZrMo structure from Alexandria. Energies are from PBE. Values from VASP.

Computed properties:
The value obtained for the electronic total energy is -6.084 eV/atom. The calculation puts the energy of formation from the pure elements at 0.907 eV/atom.

```
&SYSTEM
  ibrav = 0, nat = 3, ntyp = 3
/
ATOMIC_SPECIES
Mg 24.30 Mg.upf
Zr 91.22 Zr.upf
Mo 95.94 Mo.upf
CELL_PARAMETERS angstrom
0.000 3.244 3.244
3.244 0.000 3.244
3.244 3.244 0.000
ATOMIC_POSITIONS angstrom
Mg 0.000 0.000 0.000
Zr 3.244 3.244 3.244
Mo 1.622 1.622 1.622
```

---

7.
Here is a geometry-optimized TbSm3Y2Se6 structure from Alexandria. Energies are from PBE. Values from VASP.

Computed properties:
The value obtained for the electronic total energy is -6.181 eV/atom.

```
&SYSTEM
  ibrav = 0, nat = 12, ntyp = 4
/
ATOMIC_SPECIES
Tb 158.93 Tb.upf
Sm 150.36 Sm.upf
Y 88.91 Y.upf
Se 78.96 Se.upf
CELL_PARAMETERS angstrom
3.557 -6.198 0.000
3.557 6.198 0.000
-2.385 0.000 6.780
ATOMIC_POSITIONS angstrom
Tb 0.000 0.000 0.000
Sm 2.364 4.134 3.390
Sm 2.364 0.000 3.390
Sm 2.364 -4.134 3.390
Y 3.557 2.065 0.000
Y 3.557 -2.065 0.000
Se 1.184 2.069 1.643
Se -0.006 0.000 5.137
Se 1.184 -2.069 1.643
Se 3.545 2.069 5.138
Se 4.735 0.000 1.643
Se 3.545 -2.069 5.138
```

---

8.
Here is a geometry-optimized DyAl structure from Alexandria. Energies are from PBE. Values from VASP.

Computed properties:
The value obtained for the electronic total energy is -4.591 eV/atom. The calculation puts the energy of formation from the pure elements at -0.418 eV/atom.

```
&SYSTEM
  ibrav = 0, nat = 16, ntyp = 2
/
ATOMIC_SPECIES
Dy 162.50 Dy.upf
Al 26.98 Al.upf
CELL_PARAMETERS angstrom
5.845 0.000 0.000
0.000 11.441 0.000
0.000 0.000 5.610
ATOMIC_POSITIONS angstrom
Dy 0.583 1.923 1.402
Dy 0.583 3.797 4.207
Dy 1.977 0.177 4.207
Dy 1.977 5.543 1.402
Dy 3.868 5.898 4.207
Dy 3.868 11.264 1.402
Dy 5.263 7.644 1.402
Dy 5.263 9.518 4.207
Al 0.940 6.842 4.207
Al 0.940 10.320 1.402
Al 2.518 8.581 0.000
Al 2.518 8.581 2.805
Al 3.328 2.860 0.000
Al 3.328 2.860 2.805
Al 4.905 1.121 4.207
Al 4.905 4.600 1.402
```

---

Q: Which of these has the lowest electronic total energy?
A: CaReTc2